Entry 1:
Entry from Alexandria: a relaxed LaCdCu2I crystal (PBE-GGA).

Summary:
Formation energy from raw total energies in eV/atom: 0.6383
Total moment in μB per formula unit: 0.0
Offset from the most stable computed form in eV/atom: 0.461
Calculated total energy in eV per atom: -2.48

abc: 4.961 4.961 6.147
angles: 90.00 90.00 90.00
Atoms (fractional coordinates):
1 La 0.000 0.000 0.000
2 Cd 0.500 0.500 0.000
3 Cu 0.000 0.500 0.500
4 Cu 0.500 0.000 0.500
5 I 0.500 0.500 0.500

***

Entry 2:
Entry from Alexandria: a relaxed TlCuRh2 crystal (PBE-GGA).

Summary:
Total moment in μB per formula unit: 0.0
Calculated total energy in eV per atom: -5.04

abc: 3.003 4.512 4.708
angles: 90.00 90.00 90.00
Atoms (fractional coordinates):
1 Tl 0.000 0.000 0.000
2 Cu 0.500 0.000 0.500
3 Rh 0.000 0.500 0.500
4 Rh 0.500 0.500 0.000